A geometry-optimized Cs2U2PdS6 structure, computed with PBE-GGA.

Computed properties:
E_tot: -6.095 eV/atom

Structure (CIF):
```
data_Cs2U2PdS6
_cell_length_a 6.554
_cell_length_b 12.415
_cell_length_c 8.492
_cell_angle_alpha 90.00
_cell_angle_beta 103.59
_cell_angle_gamma 90.00
_symmetry_space_group_name_H-M 'C 1 2/m 1'
_symmetry_Int_Tables_number 12
loop_
_symmetry_equiv_pos_as_xyz
'x,y,z'
'-x,-y,-z'
'-x,y,-z'
'x,-y,z'
'x+1/2,y+1/2,z'
'-x+1/2,-y+1/2,-z'
'-x+1/2,y+1/2,-z'
'x+1/2,-y+1/2,z'
loop_
_atom_site_label
_atom_site_type_symbol
_atom_site_fract_x
_atom_site_fract_y
_atom_site_fract_z
_atom_site_occupancy
Cs1 Cs 0.000 0.151 0.000 1
U1 U 0.000 0.339 0.500 1
Pd1 Pd 0.000 0.000 0.500 1
S1 S 0.228 0.500 0.661 1
S2 S 0.236 0.189 0.683 1
```